# K3Np3PtS8 | Alexandria | PBE | relaxed
# - Uncorrected energy: -6.558 eV per atom
# - Spin magnetization: 0.691 μB/atom
data_K3Np3PtS8
_cell_length_a 13.528
_cell_length_b 7.858
_cell_length_c 8.780
_cell_angle_alpha 90.00
_cell_angle_beta 120.84
_cell_angle_gamma 90.00
_space_group_name_H-M_alt 'C 1 2/m 1'
_space_group_IT_number 12
loop_
_space_group_symop_operation_xyz
'x,y,z'
'-x,-y,-z'
'-x,y,-z'
'x,-y,z'
'x+1/2,y+1/2,z'
'-x+1/2,-y+1/2,-z'
'-x+1/2,y+1/2,-z'
'x+1/2,-y+1/2,z'
loop_
_atom_site_label
_atom_site_type_symbol
_atom_site_fract_x
_atom_site_fract_y
_atom_site_fract_z
K1 K 0.000 0.000 0.000
K2 K 0.250 0.250 0.000
Np1 Np 0.000 0.500 0.500
Np2 Np 0.250 0.250 0.500
Pt1 Pt 0.000 0.000 0.500
S1 S 0.017 0.246 0.306
S2 S 0.214 0.000 0.684
S3 S 0.235 0.500 0.704

# K2Np2PtS6 | Alexandria | PBE | relaxed
# - Uncorrected energy: -6.410 eV per atom
# - Spin magnetization: 0.580 μB/atom
data_K2Np2PtS6
_cell_length_a 6.630
_cell_length_b 11.474
_cell_length_c 7.947
_cell_angle_alpha 90.00
_cell_angle_beta 105.54
_cell_angle_gamma 90.00
_space_group_name_H-M_alt 'C 1 2/m 1'
_space_group_IT_number 12
loop_
_space_group_symop_operation_xyz
'x,y,z'
'-x,-y,-z'
'-x,y,-z'
'x,-y,z'
'x+1/2,y+1/2,z'
'-x+1/2,-y+1/2,-z'
'-x+1/2,y+1/2,-z'
'x+1/2,-y+1/2,z'
loop_
_atom_site_label
_atom_site_type_symbol
_atom_site_fract_x
_atom_site_fract_y
_atom_site_fract_z
K1 K 0.000 0.164 0.000
Np1 Np 0.000 0.331 0.500
Pt1 Pt 0.000 0.000 0.500
S1 S 0.234 0.165 0.698
S2 S 0.244 0.000 0.317

# K3Np2PtSe6 | Alexandria | PBE | relaxed
# - Uncorrected energy: -5.653 eV per atom
# - Spin magnetization: 0.579 μB/atom
data_K3Np2PtSe6
_cell_length_a 7.065
_cell_length_b 12.443
_cell_length_c 8.049
_cell_angle_alpha 90.00
_cell_angle_beta 106.44
_cell_angle_gamma 90.00
_space_group_name_H-M_alt 'C 1 2/m 1'
_space_group_IT_number 12
loop_
_space_group_symop_operation_xyz
'x,y,z'
'-x,-y,-z'
'-x,y,-z'
'x,-y,z'
'x+1/2,y+1/2,z'
'-x+1/2,-y+1/2,-z'
'-x+1/2,y+1/2,-z'
'x+1/2,-y+1/2,z'
loop_
_atom_site_label
_atom_site_type_symbol
_atom_site_fract_x
_atom_site_fract_y
_atom_site_fract_z
K1 K 0.000 0.000 0.000
K2 K 0.000 0.336 0.000
Np1 Np 0.000 0.168 0.500
Pt1 Pt 0.000 0.500 0.500
Se1 Se 0.236 0.334 0.707
Se2 Se 0.244 0.500 0.312

# K4Np3PtSe8 | Alexandria | PBE | relaxed
# - Uncorrected energy: -5.887 eV per atom
# - Spin magnetization: 0.688 μB/atom
data_K4Np3PtSe8
_cell_length_a 15.032
_cell_length_b 8.142
_cell_length_c 9.037
_cell_angle_alpha 90.00
_cell_angle_beta 121.14
_cell_angle_gamma 90.00
_space_group_name_H-M_alt 'C 1 2/m 1'
_space_group_IT_number 12
loop_
_space_group_symop_operation_xyz
'x,y,z'
'-x,-y,-z'
'-x,y,-z'
'x,-y,z'
'x+1/2,y+1/2,z'
'-x+1/2,-y+1/2,-z'
'-x+1/2,y+1/2,-z'
'x+1/2,-y+1/2,z'
loop_
_atom_site_label
_atom_site_type_symbol
_atom_site_fract_x
_atom_site_fract_y
_atom_site_fract_z
K1 K 0.000 0.000 0.000
K2 K 0.000 0.500 0.000
K3 K 0.250 0.250 0.000
Np1 Np 0.000 0.000 0.500
Np2 Np 0.250 0.250 0.500
Pt1 Pt 0.000 0.500 0.500
Se1 Se 0.020 0.278 0.319
Se2 Se 0.229 0.000 0.706
Se3 Se 0.232 0.000 0.270

# KNpPtSe3 | Alexandria | PBE | relaxed
# - Uncorrected energy: -6.021 eV per atom
# - Spin magnetization: 0.453 μB/atom
data_KNpPtSe3
_cell_length_a 9.024
_cell_length_b 4.079
_cell_length_c 9.633
_cell_angle_alpha 90.00
_cell_angle_beta 108.98
_cell_angle_gamma 90.00
_space_group_name_H-M_alt 'P 1 21/m 1'
_space_group_IT_number 11
loop_
_space_group_symop_operation_xyz
'x,y,z'
'-x,-y,-z'
'-x,y+1/2,-z'
'x,-y+1/2,z'
loop_
_atom_site_label
_atom_site_type_symbol
_atom_site_fract_x
_atom_site_fract_y
_atom_site_fract_z
K1 K 0.199 0.250 0.235
Np1 Np 0.320 0.750 0.835
Pt1 Pt 0.103 0.250 0.571
Se1 Se 0.114 0.250 0.851
Se2 Se 0.242 0.750 0.533
Se3 Se 0.452 0.750 0.149

# KNpTe3Pt | Alexandria | PBE | relaxed
# - Uncorrected energy: -5.578 eV per atom
# - Spin magnetization: 0.507 μB/atom
data_KNpTe3Pt
_cell_length_a 9.638
_cell_length_b 4.320
_cell_length_c 10.371
_cell_angle_alpha 90.00
_cell_angle_beta 111.25
_cell_angle_gamma 90.00
_space_group_name_H-M_alt 'P 1 21/m 1'
_space_group_IT_number 11
loop_
_space_group_symop_operation_xyz
'x,y,z'
'-x,-y,-z'
'-x,y+1/2,-z'
'x,-y+1/2,z'
loop_
_atom_site_label
_atom_site_type_symbol
_atom_site_fract_x
_atom_site_fract_y
_atom_site_fract_z
K1 K 0.210 0.250 0.242
Np1 Np 0.310 0.750 0.838
Te1 Te 0.101 0.250 0.862
Te2 Te 0.213 0.750 0.527
Te3 Te 0.457 0.750 0.158
Pt1 Pt 0.093 0.250 0.595

# K4Np3Te8Pt | Alexandria | PBE | relaxed
# - Uncorrected energy: -5.404 eV per atom
# - Spin magnetization: 0.687 μB/atom
data_K4Np3Te8Pt
_cell_length_a 15.983
_cell_length_b 8.774
_cell_length_c 9.688
_cell_angle_alpha 90.00
_cell_angle_beta 121.70
_cell_angle_gamma 90.00
_space_group_name_H-M_alt 'C 1 2/m 1'
_space_group_IT_number 12
loop_
_space_group_symop_operation_xyz
'x,y,z'
'-x,-y,-z'
'-x,y,-z'
'x,-y,z'
'x+1/2,y+1/2,z'
'-x+1/2,-y+1/2,-z'
'-x+1/2,y+1/2,-z'
'x+1/2,-y+1/2,z'
loop_
_atom_site_label
_atom_site_type_symbol
_atom_site_fract_x
_atom_site_fract_y
_atom_site_fract_z
K1 K 0.000 0.000 0.000
K2 K 0.000 0.500 0.000
K3 K 0.250 0.250 0.000
Np1 Np 0.000 0.000 0.500
Np2 Np 0.250 0.250 0.500
Te1 Te 0.017 0.281 0.318
Te2 Te 0.232 0.000 0.711
Te3 Te 0.239 0.000 0.272
Pt1 Pt 0.000 0.500 0.500

# K3Np3Te8Pt | Alexandria | PBE | relaxed
# - Uncorrected energy: -5.594 eV per atom
# - Spin magnetization: 0.773 μB/atom
data_K3Np3Te8Pt
_cell_length_a 8.8043
_cell_length_b 8.8043
_cell_length_c 25.2819
_cell_angle_alpha 90.00
_cell_angle_beta 90.00
_cell_angle_gamma 120.00
_space_group_name_H-M_alt 'R -3 m'
_space_group_IT_number 166
_space_group_name_Hall '-R 3 2"'
loop_
_atom_site_label
_atom_site_type_symbol
_atom_site_fract_x
_atom_site_fract_y
_atom_site_fract_z
K1 K 0.0000 0.5000 0.0000
Np1 Np 0.0000 0.5000 0.5000
Te1 Te 0.0000 0.0000 0.2374
Te2 Te 0.0310 0.5155 0.2303
Pt1 Pt 0.0000 0.0000 0.5000